# Na2LaCrF8

A relaxed structure of Na2LaCrF8 (PBE with a Hubbard U, Alexandria via LeMat-Bulk).

Unit cell a=4.5527 b=5.4167 c=7.1081 alpha=90.00 beta=90.00 gamma=91.43
Fractional coordinates of all 12 atoms:
F 0.1413 0.7965 0.2133
F 0.8587 0.2035 0.2133
F 0.4085 0.2549 0.5000
F 0.6725 0.7703 0.0000
F 0.8587 0.2035 0.7867
F 0.3275 0.2297 0.0000
F 0.1413 0.7965 0.7867
F 0.5915 0.7451 0.5000
Na 0.5000 0.5000 0.2268
Na 0.5000 0.5000 0.7732
La 0.0000 0.0000 0.5000
Cr 0.0000 0.0000 0.0000

## Properties
- mass density (g cm⁻³) = 3.68
- electronic total energy (eV for the cell shown) = -68.35